Entry w
## TcP2Br (PBE)

Data for a geometry-optimized TcP2Br structure.

Output
magnetization = 0.0 μB per cell
symmetry = No. 216
DOS at the Fermi energy = 1.025 states/eV/atom

a b c (Å): 4.451 4.451 4.451
angles (deg): 60.00 60.00 60.00
Fractional positions:
Br  0.500  0.500  0.500
P  0.000  0.000  0.000
P  0.250  0.250  0.250
Tc  0.750  0.750  0.750

---

Entry x
## TcP2Br (PBE)

Data for a geometry-optimized TcP2Br structure.

Output
magnetization = 0.0 μB per cell
symmetry = No. 65
DOS at the Fermi energy = 0.569 states/eV/atom

a b c (Å): 4.829 4.829 3.167
angles (deg): 90.00 90.00 117.74
Fractional positions:
Br  0.000  0.500  0.500
P  0.000  0.000  0.000
P  0.500  0.500  0.000
Tc  0.500  0.000  0.500

---

Winner for stability: entry w

---

Entry w
## TcP2Br (PBE)

Data for a geometry-optimized TcP2Br structure.

Output
magnetization = 0.0 μB per cell
symmetry = No. 12
DOS at the Fermi energy = 0.458 states/eV/atom

a b c (Å): 3.999 3.999 7.632
angles (deg): 109.07 109.07 45.86
Fractional positions:
Br  0.750  0.750  0.750
P  0.900  0.900  0.103
P  0.600  0.600  0.397
Tc  0.250  0.250  0.250

---

Entry x
## TcP2Br (PBE)

Data for a geometry-optimized TcP2Br structure.

Output
magnetization = 0.0 μB per cell
symmetry = No. 225
DOS at the Fermi energy = 1.348 states/eV/atom

a b c (Å): 4.473 4.473 4.473
angles (deg): 60.00 60.00 60.00
Fractional positions:
P  0.250  0.250  0.250
P  0.750  0.750  0.750
Tc  0.500  0.500  0.500
Br  0.000  0.000  0.000

---

Winner for stability: entry w

---

Entry w
## TcP2Br (PBE)

Data for a geometry-optimized TcP2Br structure.

Output
magnetization = 0.0 μB per cell
symmetry = No. 71
DOS at the Fermi energy = 0.782 states/eV/atom

a b c (Å): 5.895 5.895 5.895
angles (deg): 150.98 131.61 57.42
Fractional positions:
Br  0.750  0.250  0.500
P  0.065  0.065  0.000
P  0.435  0.435  0.000
Tc  0.250  0.750  0.500

---

Entry x
## TcP2Br (PBE)

Data for a geometry-optimized TcP2Br structure.

Output
magnetization = 0.0 μB per cell
symmetry = No. 99
DOS at the Fermi energy = 0.623 states/eV/atom

a b c (Å): 3.145 3.145 7.765
angles (deg): 90.00 90.00 90.00
Fractional positions:
Br  0.500  0.500  0.673
P  0.000  0.000  0.123
P  0.500  0.500  0.277
Tc  0.000  0.000  0.427

---

Winner for stability: entry x

---

Entry w
## TcP2Br (PBE)

Data for a geometry-optimized TcP2Br structure.

Output
magnetization = 0.0 μB per cell
symmetry = No. 44
DOS at the Fermi energy = 0.686 states/eV/atom

a b c (Å): 10.225 10.225 10.225
angles (deg): 163.98 162.23 24.01
Fractional positions:
Br  0.684  0.184  0.500
P  0.009  0.009  0.000
P  0.357  0.857  0.500
Tc  0.451  0.451  0.000

---

Entry x
## TcP2Br (PBE)

Data for a geometry-optimized TcP2Br structure.

Output
magnetization = 0.0 μB per cell
symmetry = No. 139
DOS at the Fermi energy = 1.032 states/eV/atom

a b c (Å): 4.434 4.432 4.432
angles (deg): 69.95 71.70 110.07
Fractional positions:
Br  0.500  0.500  0.000
P  0.000  0.000  0.000
P  0.500  0.000  0.500
Tc  0.000  0.500  0.500

---

Entry y
## TcP2Br (PBE)

Data for a geometry-optimized TcP2Br structure.

Output
magnetization = 0.8 μB per cell
symmetry = No. 123
DOS at the Fermi energy = 0.972 states/eV/atom

a b c (Å): 4.984 3.659 3.659
angles (deg): 90.00 90.00 90.00
Fractional positions:
Br  0.500  0.000  0.500
P  0.000  0.000  0.000
P  0.000  0.500  0.500
Tc  0.500  0.500  0.000

---

Winner for stability: entry w

---

Entry w
## TcP2Br (PBE)

Data for a geometry-optimized TcP2Br structure.

Output
magnetization = 0.0 μB per cell
symmetry = No. 10
DOS at the Fermi energy = 0.772 states/eV/atom

a b c (Å): 4.384 3.639 5.112
angles (deg): 71.55 90.00 90.00
Fractional positions:
Br  0.500  0.750  0.750
P  0.000  0.058  0.117
P  0.000  0.442  0.383
Tc  0.500  0.250  0.250

---

Entry x
## TcP2Br (PBE)

Data for a geometry-optimized TcP2Br structure.

Output
magnetization = 0.0 μB per cell
symmetry = No. 8
DOS at the Fermi energy = 0.069 states/eV/atom

a b c (Å): 4.052 4.052 7.325
angles (deg): 84.76 84.76 49.93
Fractional positions:
Br  0.247  0.247  0.347
P  0.986  0.986  0.862
P  0.780  0.780  0.694
Tc  0.487  0.487  0.597

---

Winner for stability: entry x

---

Entry w
## TeP2Br (PBE)

Data for a geometry-optimized TeP2Br structure.

Output
magnetization = 0.0 μB per cell
symmetry = No. 216
DOS at the Fermi energy = 0.821 states/eV/atom

a b c (Å): 4.886 4.886 4.886
angles (deg): 60.00 60.00 60.00
Fractional positions:
Br  0.500  0.500  0.500
P  0.000  0.000  0.000
P  0.250  0.250  0.250
Te  0.750  0.750  0.750

---

Entry x
## TeP2Br (PBE)

Data for a geometry-optimized TeP2Br structure.

Output
magnetization = 0.0 μB per cell
symmetry = No. 71
DOS at the Fermi energy = 0.686 states/eV/atom

a b c (Å): 5.717 5.717 5.717
angles (deg): 144.81 122.73 69.02
Fractional positions:
Br  0.250  0.750  0.500
P  0.968  0.968  0.000
P  0.532  0.532  0.000
Te  0.750  0.250  0.500

---

Winner for stability: entry x

---

Entry w
## TeP2Br (PBE)

Data for a geometry-optimized TeP2Br structure.

Output
magnetization = 0.0 μB per cell
symmetry = No. 122
DOS at the Fermi energy = 1.203 states/eV/atom

a b c (Å): 7.221 7.221 6.493
angles (deg): 56.21 56.21 90.00
Fractional positions:
P  0.646  0.125  0.250
P  0.104  0.625  0.250
P  0.375  0.354  0.750
P  0.875  0.896  0.750
Te  0.000  0.000  0.000
Te  0.750  0.250  0.500
Br  0.500  0.500  0.000
Br  0.250  0.750  0.500

---

Entry x
## TeP2Br (PBE)

Data for a geometry-optimized TeP2Br structure.

Output
magnetization = 0.0 μB per cell
symmetry = No. 35
DOS at the Fermi energy = 0.501 states/eV/atom

a b c (Å): 4.509 4.509 10.065
angles (deg): 90.00 90.00 137.96
Fractional positions:
Br  0.500  0.500  0.724
P  0.000  0.000  0.070
P  0.500  0.500  0.206
Te  0.000  0.000  0.500

---

Entry y
## TeP2Br (PBE)

Data for a geometry-optimized TeP2Br structure.

Output
magnetization = 0.0 μB per cell
symmetry = No. 65
DOS at the Fermi energy = 1.009 states/eV/atom

a b c (Å): 4.383 4.383 7.647
angles (deg): 90.00 90.00 129.75
Fractional positions:
Te  0.500  0.500  0.500
P  0.000  0.000  0.262
P  0.000  0.000  0.738
Br  0.500  0.500  0.000

---

Winner for stability: entry x

---

Entry w
## ThPBr (PBE)

Data for a geometry-optimized ThPBr structure.

Output
magnetization = 0.0 μB per cell
symmetry = No. 2
DOS at the Fermi energy = 0.045 states/eV/atom

a b c (Å): 3.926 4.213 12.161
angles (deg): 90.08 103.91 90.00
Fractional positions:
Th  0.678  0.073  0.441
Th  0.959  0.572  0.147
P  0.496  0.072  0.197
P  0.140  0.573  0.391
Br  0.321  0.073  0.634
Br  0.315  0.571  0.955

---

Entry x
## ThPBr (PBE)

Data for a geometry-optimized ThPBr structure.

Output
magnetization = 0.0 μB per cell
symmetry = No. 156
DOS at the Fermi energy = 0.000 states/eV/atom

a b c (Å): 6.804 4.324 4.324
angles (deg): 120.00 90.00 90.00
Fractional positions:
P  0.795  0.667  0.333
Br  0.242  0.333  0.667
Th  0.963  0.000  0.000

---

Winner for stability: entry w

---

Entry w
## TiPBr (PBE)

Data for a geometry-optimized TiPBr structure.

Output
magnetization = 0.0 μB per cell
symmetry = No. 1
DOS at the Fermi energy = 0.248 states/eV/atom

a b c (Å): 3.555 5.900 6.739
angles (deg): 75.81 89.87 72.50
Fractional positions:
Ti  0.717  0.620  0.113
Ti  0.973  0.108  0.919
P  0.172  0.714  0.827
P  0.352  0.349  0.036
Br  0.870  0.309  0.546
Br  0.105  0.843  0.297

---

Entry x
## TiPBr (PBE)

Data for a geometry-optimized TiPBr structure.

Output
magnetization = 0.0 μB per cell
symmetry = No. 8

a b c (Å): 6.632 3.526 11.683
angles (deg): 90.00 100.92 90.00
Fractional positions:
Ti  0.995  0.000  0.431
Ti  0.995  0.500  0.931
Ti  0.228  0.000  0.195
Ti  0.228  0.500  0.695
P  0.915  0.000  0.059
P  0.915  0.500  0.559
P  0.115  0.000  0.807
P  0.115  0.500  0.307
Br  0.379  0.000  0.561
Br  0.379  0.500  0.061
Br  0.631  0.000  0.313
Br  0.631  0.500  0.813

---

Entry y
## TiPBr (PBE)

Data for a geometry-optimized TiPBr structure.

Output
magnetization = 0.0 μB per cell
symmetry = No. 6
DOS at the Fermi energy = 0.254 states/eV/atom

a b c (Å): 5.236 3.529 9.307
angles (deg): 90.00 90.00 90.00
Fractional positions:
Ti  0.384  0.500  0.055
Ti  0.885  0.500  0.832
P  0.114  0.000  0.964
P  0.645  0.000  0.957
Br  0.896  0.000  0.621
Br  0.396  0.500  0.308

---

Winner for stability: entry y

---

Entry w
## TiPBr3 (PBE)

Data for a geometry-optimized TiPBr3 structure.

Output
magnetization = 0.3 μB per cell
symmetry = No. 221
DOS at the Fermi energy = 3.945 states/eV/atom

a b c (Å): 5.161 5.161 5.161
angles (deg): 90.00 90.00 90.00
Fractional positions:
P  0.000  0.000  0.000
Br  0.000  0.500  0.000
Br  0.000  0.000  0.500
Br  0.500  0.000  0.000
Ti  0.500  0.500  0.500

---

Entry x
## TiPBr3 (PBE)

Data for a geometry-optimized TiPBr3 structure.

Output
magnetization = 2.0 μB per cell
symmetry = No. 221
DOS at the Fermi energy = 0.787 states/eV/atom

a b c (Å): 5.169 5.169 5.169
angles (deg): 90.00 90.00 90.00
Fractional positions:
P  0.500  0.500  0.500
Br  0.000  0.500  0.000
Br  0.000  0.000  0.500
Br  0.500  0.000  0.000
Ti  0.000  0.000  0.000

---

Winner for stability: entry x

---

Entry w
## TiPBr2 (PBE)

Data for a geometry-optimized TiPBr2 structure.

Output
magnetization = 0.7 μB per cell
symmetry = No. 166
DOS at the Fermi energy = 0.574 states/eV/atom

a b c (Å): 10.996 10.996 10.996
angles (deg): 17.17 17.17 17.17
Fractional positions:
P  0.000  0.000  0.000
Br  0.888  0.888  0.888
Br  0.112  0.112  0.112
Ti  0.500  0.500  0.500

---

Entry x
## TiPBr2 (PBE)

Data for a geometry-optimized TiPBr2 structure.

Output
magnetization = 0.2 μB per cell
symmetry = No. 225
DOS at the Fermi energy = 0.870 states/eV/atom

a b c (Å): 4.746 4.746 4.746
angles (deg): 60.00 60.00 60.00
Fractional positions:
P  0.000  0.000  0.000
Br  0.250  0.250  0.250
Br  0.750  0.750  0.750
Ti  0.500  0.500  0.500

---

Entry y
## TiPBr2 (PBE)

Data for a geometry-optimized TiPBr2 structure.

Output
magnetization = 0.0 μB per cell
symmetry = No. 122
DOS at the Fermi energy = 1.405 states/eV/atom

a b c (Å): 9.547 9.547 7.155
angles (deg): 48.16 48.16 90.00
Fractional positions:
P  0.500  0.500  0.000
P  0.250  0.750  0.500
Br  0.782  0.125  0.250
Br  0.968  0.625  0.250
Br  0.375  0.218  0.750
Br  0.875  0.032  0.750
Ti  0.000  0.000  0.000
Ti  0.750  0.250  0.500

---

Winner for stability: entry y

---

Entry w
## TiP2Br (PBE)

Data for a geometry-optimized TiP2Br structure.

Output
magnetization = 0.0 μB per cell
symmetry = No. 122
DOS at the Fermi energy = 0.882 states/eV/atom

a b c (Å): 4.340 4.340 9.538
angles (deg): 76.85 76.85 90.00
Fractional positions:
P  0.432  0.125  0.250
P  0.318  0.625  0.250
P  0.375  0.568  0.750
P  0.875  0.682  0.750
Br  0.000  0.000  0.000
Br  0.750  0.250  0.500
Ti  0.500  0.500  0.000
Ti  0.250  0.750  0.500

---

Entry x
## TiP2Br (PBE)

Data for a geometry-optimized TiP2Br structure.

Output
magnetization = 0.0 μB per cell
symmetry = No. 225
DOS at the Fermi energy = 1.439 states/eV/atom

a b c (Å): 4.595 4.595 4.595
angles (deg): 60.00 60.00 60.00
Fractional positions:
P  0.250  0.250  0.250
P  0.750  0.750  0.750
Br  0.500  0.500  0.500
Ti  0.000  0.000  0.000

---

Winner for stability: entry w